# 1
Computed, not measured: a relaxed TbNdErIn crystal at the PBE level of DFT.

space-group type: F-43m
Fermi-level density of states: 6.5 states/eV per cell
E_form: -0.146 eV per atom
distance to the lowest polymorph of the same formula: 0 meV/atom

The structure in extended XYZ format:
```
4
Lattice="5.502 0.000 0.000 2.751 4.765 0.000 2.751 1.588 4.492" Properties=species:S:1:pos:R:3 pbc="T T T"
Nd 5.502 3.176 2.246
In 8.253 4.765 3.369
Tb 0.000 0.000 0.000
Er 2.751 1.588 1.123
```



# 2
Computed, not measured: a relaxed TiV4Tc2 crystal at the PBE level of DFT.

space-group type: I4/mmm
Fermi-level density of states: 10.7 states/eV per cell
E_form: 0.959 eV per atom

The structure in extended XYZ format:
```
7
Lattice="4.328 0.000 0.000 0.000 4.328 0.000 2.164 2.164 6.175" Properties=species:S:1:pos:R:3 pbc="T T T"
Ti 0.000 0.000 0.000
Tc 2.164 2.164 1.563
Tc 4.328 4.328 4.613
V 2.164 2.164 3.760
V 4.328 4.328 2.416
V 0.000 2.164 0.000
V 2.164 0.000 0.000
```



# 3
Computed, not measured: a relaxed CaCd crystal at the PBE level of DFT.

space-group type: R-3m
Fermi-level density of states: 1.8 states/eV per cell
E_form: -0.168 eV per atom

The structure in extended XYZ format:
```
2
Lattice="-0.100 -3.859 -3.756 1.928 -4.984 -0.675 -1.926 -4.999 -0.557" Properties=species:S:1:pos:R:3 pbc="T T T"
Ca 0.000 0.000 0.000
Cd -0.049 -6.921 -2.494
```



# 4
Computed, not measured: a relaxed DyHoGaPt crystal at the PBE level of DFT.

space-group type: F-43m
Fermi-level density of states: 2.9 states/eV per cell
E_form: -0.875 eV per atom
distance to the lowest polymorph of the same formula: 72 meV/atom

The structure in extended XYZ format:
```
4
Lattice="4.994 0.000 0.000 2.497 4.325 0.000 2.497 1.442 4.077" Properties=species:S:1:pos:R:3 pbc="T T T"
Ga 2.497 1.442 1.019
Ho 4.994 2.883 2.039
Pt 7.490 4.325 3.058
Dy 0.000 0.000 0.000
```